The following is a DFT calculation (GGA+U) of a relaxed Mn2Cl3F crystal.

Cell lengths 16.913, 3.648, 12.358 Å; angles 90.00, 126.96, 90.00 degrees
Space group C2/m (No. 12)
Unique sites:
Mn (0.229, 0.000, 0.109) x4
Mn (0.230, 0.500, 0.354) x4
Cl (0.118, 0.000, 0.188) x4
Cl (0.137, 0.500, 0.923) x4
Cl (0.152, 0.500, 0.483) x4
F (0.216, 0.000, 0.765) x4

- magnetization (μB per atom) = 1.67
- calculated total energy (eV per atom) = -5.38
- DOS(E_F) (states/eV per atom) = 0.0000